Entry one
DFT (PBE) results for a relaxed Er4ZnCu crystal.

The structure in POSCAR format:
```
Er4ZnCu
1.0
3.479 0.000 0.000
0.000 3.479 0.000
0.000 0.000 12.219
Er Zn Cu
4 1 1
direct
0.000 0.000 0.139
0.000 0.000 0.861
0.500 0.500 0.355
0.500 0.500 0.645
0.000 0.000 0.500
0.500 0.500 0.000
```

Calculated values
Total moment, μB per formula unit: 0.004
DOS(E_F), states/eV/f.u.: 8.355



Entry two
DFT (PBE) results for a relaxed Er4ZnCu crystal.

The structure in POSCAR format:
```
Er4ZnCu
1.0
4.834 0.000 0.000
0.000 4.834 0.000
0.000 0.000 6.887
Er Zn Cu
4 1 1
direct
0.000 0.500 0.244
0.000 0.500 0.756
0.500 0.000 0.244
0.500 0.000 0.756
0.000 0.000 0.500
0.500 0.500 0.000
```

Calculated values
Total moment, μB per formula unit: 0.000
DOS(E_F), states/eV/f.u.: 6.012



Which structure is the most stable? The one labeled entry one.